4
Lattice="3.7879 0.0000 0.0000 0.0000 3.7879 0.0000 0.0000 0.0000 7.6830" Properties=species:S:1:pos:R:3 comment="PmUTe2, relaxed, DFT GGA-PBE" dos_ef_per_ev_atom=2.14 spacegroup="P4/mmm (123)" polymorph_energy_mev_per_atom=0 raw_formation_energy_ev_per_atom=-0.839 pbc="T T T"
Te 0.0000 0.0000 5.7204
Te 0.0000 0.0000 1.9626
U 1.8939 1.8939 3.8415
Pm 1.8939 1.8939 0.0000

4
Lattice="-0.3363 -3.0083 2.7131 -2.0682 -3.3690 -0.9467 7.7139 -6.3376 -3.0258" Properties=species:S:1:pos:R:3 comment="PmUTe2, relaxed, DFT GGA-PBE" dos_ef_per_ev_atom=1.16 spacegroup="R-3m (166)" polymorph_energy_mev_per_atom=412 raw_formation_energy_ev_per_atom=-0.427 pbc="T T T"
Te 5.1266 -5.0579 -1.9276
Te 0.1827 -7.6570 0.6681
U 2.6547 -6.3574 -0.6297
Pm 0.0000 0.0000 0.0000

14
Lattice="0.0857 -5.2420 -6.0671 3.9217 -3.1024 6.2683 -7.5854 1.5444 2.0910" Properties=species:S:1:pos:R:3 comment="Pm2Y2Te3, relaxed, DFT GGA-PBE" dos_ef_per_ev_atom=0.37 spacegroup="I2_13 (199)" raw_formation_energy_ev_per_atom=-1.152 pbc="T T T"
Pm -2.3720 -2.9388 0.2143
Pm -2.6651 0.5426 0.7347
Pm -0.4891 -3.6319 -2.6928
Pm 2.0338 -6.0140 -2.0311
Y -6.5199 1.3275 1.7973
Y -0.3791 -4.5154 3.3997
Y -2.3345 -1.7342 4.5016
Y 1.9916 -3.4358 0.9528
Te -0.3479 -5.2993 0.1941
Te 2.5234 -3.8241 4.1867
Te -3.6042 -4.2328 2.7592
Te -3.7238 -4.4160 -2.4551
Te -5.1872 -1.1527 0.0756
Te -0.3946 -1.4751 2.1160

10
Lattice="-2.4320 1.9172 3.1049 -0.5767 -4.9773 5.7184 6.6883 2.8912 6.5503" Properties=species:S:1:pos:R:3 comment="PmY4Te5, relaxed, DFT GGA-PBE" dos_ef_per_ev_atom=0.54 spacegroup="C2/m (12)" raw_formation_energy_ev_per_atom=-1.332 pbc="T T T"
Pm 0.0000 0.0000 0.0000
Y 2.4766 1.9142 6.9515
Y 0.6121 -0.9829 4.1832
Y 3.0674 0.8139 11.1904
Y 1.2029 -2.0831 8.4220
Te 3.6293 -2.0838 10.3229
Te 0.0503 1.9149 5.0506
Te 4.8550 1.8062 8.8811
Te 3.0558 -1.0431 6.1343
Te -1.1755 -1.9751 6.4925

12
Lattice="7.5749 -0.1416 -1.4253 -4.1128 6.3626 -1.4253 0.1548 0.2781 7.7242" Properties=species:S:1:pos:R:3 comment="Pm5YTe6, relaxed, DFT GGA-PBE" dos_ef_per_ev_atom=0.52 spacegroup="C2/m (12)" raw_formation_energy_ev_per_atom=-1.394 pbc="T T T"
Y 0.0000 0.0000 0.0000
Te 2.7950 0.5317 1.1985
Te 4.6381 3.8436 3.6750
Te 0.9594 1.7240 5.0977
Te 2.6574 4.7752 -0.2242
Te -1.0213 2.6555 1.1985
Te 0.8218 5.9674 3.6750
Pm 5.6364 1.1192 2.4368
Pm 3.6875 2.0217 -1.4253
Pm 1.8084 3.2496 2.4368
Pm -0.2255 4.1993 -1.4253
Pm -2.0196 5.3799 2.4368

8
Lattice="4.0097 0.0002 0.0000 -2.0047 6.1391 0.0000 0.0000 0.0000 9.8630" Properties=species:S:1:pos:R:3 comment="PmY2Te, relaxed, DFT GGA-PBE" dos_ef_per_ev_atom=1.42 spacegroup="Cmcm (63)" polymorph_energy_mev_per_atom=0 raw_formation_energy_ev_per_atom=-0.685 pbc="T T T"
Pm 2.0049 5.4524 2.4658
Pm 0.0001 0.6869 7.3973
Y -0.0002 4.4664 5.2931
Y 2.0052 1.6729 4.5699
Y -0.0002 4.4664 9.5014
Y 2.0052 1.6729 0.3616
Te 2.0051 3.2720 7.3973
Te -0.0001 2.8673 2.4658